Below is a relaxed structure of NaAcSeO6, with properties calculated at the GGA-PBE level.

abc: 5.5652 5.5652 5.0515
angles: 90.00 90.00 120.00
Space group P312 (No. 149)
Inequivalent atoms, fractional coordinates:
Na  0.0000  0.0000  0.0000
Ac  0.6667  0.3333  0.5000
Se  0.3333  0.6667  0.0000
O  0.0622  0.4070  0.2038

DFT total energy = -50.93 eV per cell
Uncorrected formation energy = -1.3634 eV/atom
V = 15.1 A^3/atom